[1]
This record from the Alexandria database describes a relaxed NaGe crystal. The functional is PBEsol.

Structure (POSCAR):
```
NaGe
1.0
6.450 0.000 0.000
0.000 11.424 -0.024
0.000 -5.240 10.568
Na Ge
16 16
Direct
0.950 0.763 0.906
0.450 0.737 0.094
0.050 0.237 0.094
0.550 0.263 0.906
0.826 0.237 0.612
0.326 0.263 0.388
0.174 0.763 0.388
0.674 0.737 0.612
0.193 0.611 0.598
0.693 0.889 0.402
0.807 0.389 0.402
0.307 0.111 0.598
0.145 0.455 0.862
0.645 0.045 0.138
0.855 0.545 0.138
0.355 0.955 0.862
0.482 0.660 0.809
0.982 0.840 0.191
0.518 0.340 0.191
0.018 0.160 0.809
0.456 0.412 0.665
0.956 0.088 0.335
0.544 0.588 0.335
0.044 0.912 0.665
0.805 0.527 0.683
0.305 0.973 0.317
0.195 0.473 0.317
0.695 0.027 0.683
0.667 0.501 0.873
0.167 0.999 0.127
0.333 0.499 0.127
0.833 0.001 0.873
```

Computed properties:
final energy	-106.181	eV for the cell shown
space group	No. 14
formation enthalpy at 0 K	-0.149	eV/atom


[2]
This record from the Alexandria database describes a relaxed Ba3NiIr2O9 crystal. The functional is PBEsol.

Structure (POSCAR):
```
Ba3NiIr2O9
1.0
-2.505 3.984 3.221
-2.236 -5.237 -0.311
7.838 -4.002 11.047
Ba Ni Ir O
6 2 4 18
Direct
0.000 0.000 0.250
0.000 0.000 0.750
0.667 0.333 0.583
0.333 0.667 0.083
0.333 0.667 0.417
0.667 0.333 0.917
0.000 0.000 0.000
0.000 0.000 0.500
0.667 0.333 0.341
0.333 0.667 0.841
0.333 0.667 0.659
0.667 0.333 0.159
0.509 0.491 0.250
0.491 0.982 0.750
0.018 0.509 0.750
0.982 0.491 0.250
0.509 0.018 0.250
0.491 0.509 0.750
0.831 0.169 0.081
0.169 0.338 0.581
0.662 0.831 0.581
0.338 0.169 0.081
0.831 0.662 0.081
0.169 0.831 0.919
0.169 0.338 0.919
0.169 0.831 0.581
0.662 0.831 0.919
0.338 0.169 0.419
0.831 0.169 0.419
0.831 0.662 0.419
```

Computed properties:
formation energy from raw total energies	-1.61	eV/atom
final energy	-207.388	eV for the cell shown
space group	No. 194


[3]
This record from the Alexandria database describes a relaxed Co6CuRh crystal. The functional is PBEsol.

Structure (POSCAR):
```
Co6CuRh
1.0
-3.299 2.089 -4.703
-2.958 -4.624 2.689
-4.575 6.460 6.078
Co Cu Rh
24 4 4
Direct
0.248 0.752 0.747
0.877 0.629 0.873
0.123 0.371 0.873
0.752 0.248 0.747
0.371 0.123 0.873
0.629 0.877 0.873
0.500 0.500 0.500
0.120 0.373 0.623
0.373 0.120 0.623
0.248 0.752 0.253
0.880 0.627 0.377
0.120 0.373 0.377
0.752 0.248 0.253
0.373 0.120 0.377
0.627 0.880 0.377
0.500 0.500 0.000
0.123 0.371 0.127
0.371 0.123 0.127
0.000 0.000 0.500
0.627 0.880 0.623
0.880 0.627 0.623
0.000 0.000 0.000
0.629 0.877 0.127
0.877 0.629 0.127
0.252 0.748 0.500
0.748 0.252 0.500
0.000 0.000 0.747
0.000 0.000 0.253
0.252 0.748 0.000
0.748 0.252 0.000
0.500 0.500 0.747
0.500 0.500 0.253
```

Computed properties:
final energy	-232.482	eV for the cell shown
space group	No. 65
formation enthalpy at 0 K	0.097	eV/atom


[4]
This record from the Alexandria database describes a relaxed KZrTa2 crystal. The functional is PBEsol.

Structure (POSCAR):
```
KZrTa2
1.0
2.921 0.000 0.000
-1.460 4.510 0.002
0.000 -0.330 7.930
K Ta Zr
1 2 1
Direct
0.749 0.498 0.236
0.988 0.975 0.911
0.251 0.502 0.765
0.513 0.025 0.588
```

Computed properties:
final energy	-32.018	eV for the cell shown
space group	No. 8
formation enthalpy at 0 K	0.827	eV/atom
excess energy over the best structure of this formula in the dataset	0.000	eV per atom


[5]
This record from the Alexandria database describes a relaxed SiIrBr crystal. The functional is PBEsol.

Structure (POSCAR):
```
SiIrBr
1.0
-2.570 -2.979 1.649
1.308 -4.053 0.233
0.903 -1.735 3.791
Si Ir Br
1 1 1
Direct
0.500 0.500 0.500
0.000 0.000 0.000
0.250 0.250 0.250
```

Computed properties:
formation energy from raw total energies	1.37	eV/atom
final energy	-13.325	eV for the cell shown
space group	No. 216


[6]
This record from the Alexandria database describes a relaxed SiAgBr2 crystal. The functional is PBEsol.

Structure (POSCAR):
```
SiAgBr2
1.0
3.559 0.000 0.000
0.000 4.176 0.000
0.000 0.000 6.209
Ag Br Si
1 2 1
Direct
0.000 0.500 0.500
0.000 0.000 0.000
0.500 0.000 0.500
0.500 0.500 0.000
```

Computed properties:
formation energy from raw total energies	0.26	eV/atom
final energy	-11.749	eV for the cell shown
space group	No. 47
excess energy over the best structure of this formula in the dataset	0.251	eV per atom